[1]
Material: YReAs2Rh
Method: DFT, PBE-GGA
State: optimized geometry

Cell: 5.265 4.834 5.265 Å, 90.00 90.00 90.00°
Fractional positions:
As  0.000  0.000  0.500
As  0.500  0.000  0.000
Y  0.000  0.000  0.000
Re  0.500  0.500  0.500
Rh  0.000  0.500  0.000

Results
DFT formation energy: 1.6688 eV per atom
raw total energy: -5.4437 eV per atom
space-group type: P4/mmm (123)

=====

[2]
Material: SrLaHg3
Method: DFT, PBE-GGA
State: optimized geometry

Cell: 5.932 5.932 5.932 Å, 90.00 90.00 90.00°
Fractional positions:
Hg  0.500  0.000  0.000
Hg  0.000  0.500  0.000
Hg  0.000  0.000  0.500
Sr  0.500  0.500  0.500
La  0.000  0.000  0.000

Results
energy above the lowest structure with this stoichiometry: 0.505 eV/atom
DFT formation energy: 0.0317 eV per atom
raw total energy: -1.4713 eV per atom
space-group type: Pm-3m (221)

=====

[3]
Material: Mg5AlTl6
Method: DFT, PBE-GGA
State: optimized geometry

Cell: 4.848 8.974 8.974 Å, 116.79 105.67 105.67°
Fractional positions:
Mg  0.000  0.668  0.332
Mg  0.500  0.164  0.836
Mg  0.500  0.500  0.500
Mg  0.000  0.332  0.668
Mg  0.500  0.836  0.164
Tl  0.750  0.917  0.583
Tl  0.749  0.249  0.249
Tl  0.250  0.417  0.083
Tl  0.250  0.083  0.417
Tl  0.750  0.583  0.917
Tl  0.251  0.751  0.751
Al  0.000  0.000  0.000

Results
DFT formation energy: 0.0274 eV per atom
raw total energy: -2.1321 eV per atom
space-group type: Immm (71)

=====

> Which formula does entry 2 have?

SrLaHg3